Below is an optimized crystal structure of TaNi3Mo, with properties calculated at the GGA-PBE level.

Computed properties:
formation energy from the elements = 1.3272 eV per atom
symmetry = Pm-3m (221)
energy relative to the lowest polymorph listed for this composition = 0 meV/atom
Fermi-level density of states = 6.183 states/eV/cell

Lattice parameters (Å, degrees): 4.3706 4.3706 4.3706 90.00 90.00 90.00
Last column: nearest neighbours and their distance in Å.
Fractional positions:
Ni  0.0000  0.5000  0.0000  2 Mo 2.19
Ni  0.0000  0.0000  0.5000  2 Mo 2.19
Ni  0.5000  0.0000  0.0000  2 Mo 2.19
Mo  0.0000  0.0000  0.0000  6 Ni 2.19
Ta  0.5000  0.5000  0.5000  12 Ni 3.09

***

Below is an optimized crystal structure of TaNiMo2, with properties calculated at the GGA-PBE level.

Computed properties:
formation energy from the elements = -0.0088 eV per atom
symmetry = Pmmm (47)
energy relative to the lowest polymorph listed for this composition = 31 meV/atom
Fermi-level density of states = 4.205 states/eV/cell

Lattice parameters (Å, degrees): 3.2757 4.2301 4.4115 90.00 90.00 90.00
Last column: nearest neighbours and their distance in Å.
Fractional positions:
Mo  0.0000  0.0000  0.0000  4 Mo 2.68, 4 Ni 2.75
Mo  0.5000  0.5000  0.0000  4 Mo 2.68, 4 Ta 2.75
Ni  0.5000  0.0000  0.5000  4 Ta 2.68, 4 Mo 2.75
Ta  0.0000  0.5000  0.5000  4 Ni 2.68, 4 Mo 2.75